[1]
# PBE Tb3PuS4, relaxed
data_Tb3PuS4
_chemical_formula_sum 'Tb3 Pu1 S4'
_cell_length_a 5.562
_cell_length_b 5.562
_cell_length_c 5.562
_cell_angle_alpha 90.00
_cell_angle_beta 90.00
_cell_angle_gamma 90.00
_space_group_name_H-M_alt 'P 1'
_space_group_IT_number 1
loop_
_space_group_symop_operation_xyz
'x,y,z'
loop_
_atom_site_label
_atom_site_type_symbol
_atom_site_fract_x
_atom_site_fract_y
_atom_site_fract_z
Tb1 Tb 0.000 0.500 0.500
Tb2 Tb 0.500 0.000 0.500
Tb3 Tb 0.500 0.500 0.000
Pu1 Pu 0.000 0.000 0.000
S1 S 0.500 0.000 0.000
S2 S 0.000 0.500 0.000
S3 S 0.000 0.000 0.500
S4 S 0.500 0.500 0.500
# raw total energy: -60.49 eV per cell



[2]
# PBE Cs2RbSnAs2, relaxed
data_Cs2RbSnAs2
_chemical_formula_sum 'Cs4 Rb2 Sn2 As4'
_cell_length_a 7.328
_cell_length_b 8.356
_cell_length_c 9.924
_cell_angle_alpha 114.90
_cell_angle_beta 111.67
_cell_angle_gamma 90.00
_space_group_name_H-M_alt 'P 1'
_space_group_IT_number 1
loop_
_space_group_symop_operation_xyz
'x,y,z'
loop_
_atom_site_label
_atom_site_type_symbol
_atom_site_fract_x
_atom_site_fract_y
_atom_site_fract_z
Cs1 Cs 0.682 0.891 0.363
Cs2 Cs 0.182 0.472 0.363
Cs3 Cs 0.818 0.528 0.637
Cs4 Cs 0.318 0.109 0.637
Rb1 Rb 0.250 0.000 0.000
Rb2 Rb 0.750 0.000 0.000
Sn1 Sn 0.750 0.500 0.000
Sn2 Sn 0.250 0.500 0.000
As1 As 0.408 0.597 0.816
As2 As 0.592 0.403 0.184
As3 As 0.092 0.780 0.184
As4 As 0.908 0.220 0.816
# raw total energy: -36.21 eV per cell
# energy of formation from the pure elements: -0.35 eV per atom



[3]
# PBE TaSi3Te, relaxed
data_TaSi3Te
_chemical_formula_sum 'Ta1 Si3 Te1'
_cell_length_a 4.973
_cell_length_b 4.973
_cell_length_c 4.973
_cell_angle_alpha 90.00
_cell_angle_beta 90.00
_cell_angle_gamma 90.00
_space_group_name_H-M_alt 'P 1'
_space_group_IT_number 1
loop_
_space_group_symop_operation_xyz
'x,y,z'
loop_
_atom_site_label
_atom_site_type_symbol
_atom_site_fract_x
_atom_site_fract_y
_atom_site_fract_z
Si1 Si 0.000 0.500 0.000
Si2 Si 0.000 0.000 0.500
Si3 Si 0.500 0.000 0.000
Te1 Te 0.500 0.500 0.500
Ta1 Ta 0.000 0.000 0.000
# raw total energy: -27.37 eV per cell
# E above lowest polymorph: 0.0 meV/atom



[4]
# PBE SmIn2BiTe4, relaxed
data_SmIn2BiTe4
_chemical_formula_sum 'Sm1 In2 Bi1 Te4'
_cell_length_a 4.525
_cell_length_b 8.320
_cell_length_c 7.884
_cell_angle_alpha 71.63
_cell_angle_beta 90.00
_cell_angle_gamma 90.00
_space_group_name_H-M_alt 'P 1'
_space_group_IT_number 1
loop_
_space_group_symop_operation_xyz
'x,y,z'
loop_
_atom_site_label
_atom_site_type_symbol
_atom_site_fract_x
_atom_site_fract_y
_atom_site_fract_z
Sm1 Sm 0.000 0.500 0.500
In1 In 0.000 0.000 0.000
In2 In 0.500 0.000 0.500
Bi1 Bi 0.500 0.500 0.000
Te1 Te 0.000 0.730 0.754
Te2 Te 0.000 0.270 0.246
Te3 Te 0.500 0.727 0.261
Te4 Te 0.500 0.273 0.739
# raw total energy: -31.49 eV per cell



[5]
# PBE Mn2NiPt, relaxed
data_Mn2NiPt
_chemical_formula_sum 'Mn2 Ni1 Pt1'
_cell_length_a 4.504
_cell_length_b 4.504
_cell_length_c 4.722
_cell_angle_alpha 78.27
_cell_angle_beta 78.27
_cell_angle_gamma 36.28
_space_group_name_H-M_alt 'P 1'
_space_group_IT_number 1
loop_
_space_group_symop_operation_xyz
'x,y,z'
loop_
_atom_site_label
_atom_site_type_symbol
_atom_site_fract_x
_atom_site_fract_y
_atom_site_fract_z
Mn1 Mn 0.006 0.006 0.990
Mn2 Mn 0.494 0.494 0.510
Ni1 Ni 0.750 0.750 0.750
Pt1 Pt 0.250 0.250 0.250
# raw total energy: -30.26 eV per cell
# energy of formation from the pure elements: -0.02 eV per atom



[6]
# PBE H6PtN2Cl, relaxed
data_H6PtN2Cl
_chemical_formula_sum 'H12 Pt2 N4 Cl2'
_cell_length_a 7.252
_cell_length_b 7.252
_cell_length_c 4.984
_cell_angle_alpha 110.10
_cell_angle_beta 110.10
_cell_angle_gamma 100.28
_space_group_name_H-M_alt 'P 1'
_space_group_IT_number 1
loop_
_space_group_symop_operation_xyz
'x,y,z'
loop_
_atom_site_label
_atom_site_type_symbol
_atom_site_fract_x
_atom_site_fract_y
_atom_site_fract_z
H1 H 0.083 0.320 0.616
H2 H 0.680 0.917 0.884
H3 H 0.917 0.680 0.384
H4 H 0.320 0.083 0.116
H5 H 0.171 0.156 0.413
H6 H 0.844 0.829 0.087
H7 H 0.829 0.844 0.587
H8 H 0.156 0.171 0.913
H9 H 0.083 0.320 0.287
H10 H 0.680 0.917 0.213
H11 H 0.917 0.680 0.713
H12 H 0.320 0.083 0.787
Pt1 Pt 0.544 0.456 0.250
Pt2 Pt 0.456 0.544 0.750
N1 N 0.308 0.170 0.989
N2 N 0.830 0.692 0.511
N3 N 0.692 0.830 0.011
N4 N 0.170 0.308 0.489
Cl1 Cl 0.176 0.824 0.250
Cl2 Cl 0.824 0.176 0.750
# raw total energy: -96.80 eV per cell



[7]
# PBE Tb2Sm2InGa4, relaxed
data_Tb2Sm2InGa4
_chemical_formula_sum 'Tb2 Sm2 In1 Ga4'
_cell_length_a 6.854
_cell_length_b 6.854
_cell_length_c 6.854
_cell_angle_alpha 94.82
_cell_angle_beta 117.26
_cell_angle_gamma 117.26
_space_group_name_H-M_alt 'P 1'
_space_group_IT_number 1
loop_
_space_group_symop_operation_xyz
'x,y,z'
loop_
_atom_site_label
_atom_site_type_symbol
_atom_site_fract_x
_atom_site_fract_y
_atom_site_fract_z
Tb1 Tb 0.500 0.750 0.250
Tb2 Tb 0.500 0.250 0.750
Sm1 Sm 0.000 0.686 0.686
Sm2 Sm 0.000 0.314 0.314
In1 In 0.000 0.000 0.000
Ga1 Ga 0.000 0.741 0.259
Ga2 Ga 0.481 0.741 0.741
Ga3 Ga 0.000 0.259 0.741
Ga4 Ga 0.519 0.259 0.259
# raw total energy: -34.96 eV per cell
# energy of formation from the pure elements: -0.16 eV per atom



[8]
# PBE RbNa2HPb, relaxed
data_RbNa2HPb
_chemical_formula_sum 'Rb1 Na2 H1 Pb1'
_cell_length_a 5.149
_cell_length_b 5.149
_cell_length_c 5.559
_cell_angle_alpha 90.00
_cell_angle_beta 90.00
_cell_angle_gamma 90.00
_space_group_name_H-M_alt 'P 1'
_space_group_IT_number 1
loop_
_space_group_symop_operation_xyz
'x,y,z'
loop_
_atom_site_label
_atom_site_type_symbol
_atom_site_fract_x
_atom_site_fract_y
_atom_site_fract_z
Pb1 Pb 0.500 0.500 0.500
Na1 Na 0.000 0.500 0.000
Na2 Na 0.500 0.000 0.000
Rb1 Rb 0.000 0.000 0.500
H1 H 0.000 0.000 0.000
# raw total energy: -10.52 eV per cell



[9]
# PBE ScTePb2, relaxed
data_ScTePb2
_chemical_formula_sum 'Sc1 Te1 Pb2'
_cell_length_a 5.995
_cell_length_b 4.357
_cell_length_c 4.357
_cell_angle_alpha 90.00
_cell_angle_beta 90.00
_cell_angle_gamma 90.00
_space_group_name_H-M_alt 'P 1'
_space_group_IT_number 1
loop_
_space_group_symop_operation_xyz
'x,y,z'
loop_
_atom_site_label
_atom_site_type_symbol
_atom_site_fract_x
_atom_site_fract_y
_atom_site_fract_z
Pb1 Pb 0.000 0.000 0.000
Pb2 Pb 0.000 0.500 0.500
Sc1 Sc 0.500 0.500 0.000
Te1 Te 0.500 0.000 0.500
# raw total energy: -17.80 eV per cell



[10]
# PBE LiMg2Ta, relaxed
data_LiMg2Ta
_chemical_formula_sum 'Li1 Mg2 Ta1'
_cell_length_a 2.948
_cell_length_b 2.948
_cell_length_c 8.728
_cell_angle_alpha 90.00
_cell_angle_beta 90.00
_cell_angle_gamma 90.00
_space_group_name_H-M_alt 'P 1'
_space_group_IT_number 1
loop_
_space_group_symop_operation_xyz
'x,y,z'
loop_
_atom_site_label
_atom_site_type_symbol
_atom_site_fract_x
_atom_site_fract_y
_atom_site_fract_z
Li1 Li 0.500 0.500 0.747
Mg1 Mg 0.000 0.000 0.982
Mg2 Mg 0.500 0.500 0.262
Ta1 Ta 0.000 0.000 0.510
# raw total energy: -15.93 eV per cell
# energy of formation from the pure elements: 0.26 eV per atom
# E above lowest polymorph: 112.8 meV/atom



[11]
# PBE Ac3Tl2SnPd8, relaxed
data_Ac3Tl2SnPd8
_chemical_formula_sum 'Ac3 Tl2 Sn1 Pd8'
_cell_length_a 5.744
_cell_length_b 5.744
_cell_length_c 11.053
_cell_angle_alpha 90.00
_cell_angle_beta 90.00
_cell_angle_gamma 120.00
_space_group_name_H-M_alt 'P 1'
_space_group_IT_number 1
loop_
_space_group_symop_operation_xyz
'x,y,z'
loop_
_atom_site_label
_atom_site_type_symbol
_atom_site_fract_x
_atom_site_fract_y
_atom_site_fract_z
Ac1 Ac 0.333 0.667 0.591
Ac2 Ac 0.667 0.333 0.409
Ac3 Ac 0.000 0.000 0.000
Tl1 Tl 0.333 0.667 0.100
Tl2 Tl 0.667 0.333 0.900
Sn1 Sn 0.000 0.000 0.500
Pd1 Pd 0.333 0.667 0.855
Pd2 Pd 0.667 0.333 0.145
Pd3 Pd 0.166 0.834 0.298
Pd4 Pd 0.834 0.166 0.702
Pd5 Pd 0.166 0.332 0.298
Pd6 Pd 0.834 0.668 0.702
Pd7 Pd 0.668 0.834 0.298
Pd8 Pd 0.332 0.166 0.702
# raw total energy: -70.47 eV per cell
# energy of formation from the pure elements: -0.56 eV per atom



[12]
# PBE Co5Pt2Rh4, relaxed
data_Co5Pt2Rh4
_chemical_formula_sum 'Co10 Pt4 Rh8'
_cell_length_a 2.690
_cell_length_b 6.723
_cell_length_c 16.457
_cell_angle_alpha 90.00
_cell_angle_beta 90.00
_cell_angle_gamma 90.00
_space_group_name_H-M_alt 'P 1'
_space_group_IT_number 1
loop_
_space_group_symop_operation_xyz
'x,y,z'
loop_
_atom_site_label
_atom_site_type_symbol
_atom_site_fract_x
_atom_site_fract_y
_atom_site_fract_z
Co1 Co 0.000 0.500 0.000
Co2 Co 0.000 0.000 0.500
Co3 Co 0.000 0.281 0.200
Co4 Co 0.000 0.719 0.800
Co5 Co 0.000 0.781 0.300
Co6 Co 0.000 0.219 0.700
Co7 Co 0.000 0.369 0.439
Co8 Co 0.000 0.631 0.561
Co9 Co 0.000 0.869 0.061
Co10 Co 0.000 0.131 0.939
Pt1 Pt 0.500 0.460 0.306
Pt2 Pt 0.500 0.540 0.694
Pt3 Pt 0.500 0.960 0.194
Pt4 Pt 0.500 0.040 0.806
Rh1 Rh 0.500 0.290 0.566
Rh2 Rh 0.500 0.710 0.434
Rh3 Rh 0.500 0.790 0.934
Rh4 Rh 0.500 0.210 0.066
Rh5 Rh 0.500 0.422 0.864
Rh6 Rh 0.500 0.578 0.136
Rh7 Rh 0.500 0.922 0.636
Rh8 Rh 0.500 0.078 0.364
# raw total energy: -152.40 eV per cell
# energy of formation from the pure elements: 0.07 eV per atom